[1]
# PBE-GGA AcLaPm14, relaxed
data_AcLaPm14
_chemical_formula_sum 'Ac1 La1 Pm14'
_space_group_name_H-M_alt 'P 1'
_space_group_IT_number 1
_space_group_name_Hall 'P 1'
_cell_length_a 11.9264
_cell_length_b 7.4138
_cell_length_c 7.4138
_cell_angle_alpha 60.19
_cell_angle_beta 90.00
_cell_angle_gamma 90.00
loop_
_atom_site_label
_atom_site_type_symbol
_atom_site_fract_x
_atom_site_fract_y
_atom_site_fract_z
Ac1 Ac 0.0000 0.0000 0.0000
La1 La 0.0000 0.5005 0.5005
Pm1 Pm 0.0000 0.0024 0.5006
Pm2 Pm 0.0000 0.5006 0.0024
Pm3 Pm 0.2516 0.6686 0.6686
Pm4 Pm 0.2532 0.1692 0.1692
Pm5 Pm 0.2547 0.1695 0.6666
Pm6 Pm 0.2547 0.6666 0.1695
Pm7 Pm 0.5000 0.0011 0.0011
Pm8 Pm 0.5000 0.0007 0.5008
Pm9 Pm 0.5000 0.5008 0.0007
Pm10 Pm 0.5000 0.5014 0.5014
Pm11 Pm 0.7453 0.1695 0.6666
Pm12 Pm 0.7453 0.6666 0.1695
Pm13 Pm 0.7468 0.1692 0.1692
Pm14 Pm 0.7484 0.6686 0.6686
# Formation energy   0.04 eV/atom
# D(E_F)   1.862 states/eV per atom

=====

[2]
# PBE-GGA AcLa6Pm2, relaxed
data_AcLa6Pm2
_chemical_formula_sum 'Ac1 La6 Pm2'
_space_group_name_H-M_alt 'P 1'
_space_group_IT_number 1
_space_group_name_Hall 'P 1'
_cell_length_a 7.6730
_cell_length_b 7.6730
_cell_length_c 5.8420
_cell_angle_alpha 90.00
_cell_angle_beta 90.00
_cell_angle_gamma 103.83
loop_
_atom_site_label
_atom_site_type_symbol
_atom_site_fract_x
_atom_site_fract_y
_atom_site_fract_z
Ac1 Ac 0.0000 0.0000 0.0000
La1 La 0.1939 0.4875 0.0000
La2 La 0.2936 0.2936 0.5000
La3 La 0.4875 0.1939 0.0000
La4 La 0.5125 0.8061 0.0000
La5 La 0.7064 0.7064 0.5000
La6 La 0.8061 0.5125 0.0000
Pm1 Pm 0.2112 0.7888 0.5000
Pm2 Pm 0.7888 0.2112 0.5000
# ΔE to the lowest computed polymorph   1.626 eV/f.u.
# Formation energy   0.22 eV/atom
# D(E_F)   1.922 states/eV per atom

=====

[3]
# PBE-GGA Ac4LaPm2, relaxed
data_Ac4LaPm2
_chemical_formula_sum 'Ac4 La1 Pm2'
_space_group_name_H-M_alt 'P 1'
_space_group_IT_number 1
_space_group_name_Hall 'P 1'
_cell_length_a 21.9733
_cell_length_b 21.9733
_cell_length_c 21.9733
_cell_angle_alpha 10.14
_cell_angle_beta 10.14
_cell_angle_gamma 10.14
loop_
_atom_site_label
_atom_site_type_symbol
_atom_site_fract_x
_atom_site_fract_y
_atom_site_fract_z
Ac1 Ac 0.1414 0.1414 0.1414
Ac2 Ac 0.2854 0.2854 0.2854
Ac3 Ac 0.7146 0.7146 0.7146
Ac4 Ac 0.8586 0.8586 0.8586
La1 La 0.0000 0.0000 0.0000
Pm1 Pm 0.4278 0.4278 0.4278
Pm2 Pm 0.5722 0.5722 0.5722
# ΔE to the lowest computed polymorph   0.000 eV/f.u.
# Formation energy   0.03 eV/atom
# D(E_F)   1.677 states/eV per atom

=====

[4]
# PBE-GGA Ac2La7Pm4, relaxed
data_Ac2La7Pm4
_chemical_formula_sum 'Ac2 La7 Pm4'
_space_group_name_H-M_alt 'P 1'
_space_group_IT_number 1
_space_group_name_Hall 'P 1'
_cell_length_a 7.7603
_cell_length_b 8.3501
_cell_length_c 8.8322
_cell_angle_alpha 96.87
_cell_angle_beta 115.39
_cell_angle_gamma 103.83
loop_
_atom_site_label
_atom_site_type_symbol
_atom_site_fract_x
_atom_site_fract_y
_atom_site_fract_z
Ac1 Ac 0.1224 0.3124 0.0985
Ac2 Ac 0.8776 0.6876 0.9015
La1 La 0.1555 0.6776 0.4609
La2 La 0.3470 0.6037 0.8991
La3 La 0.3596 0.9890 0.2792
La4 La 0.5000 0.0000 0.0000
La5 La 0.6404 0.0110 0.7208
La6 La 0.6530 0.3963 0.1009
La7 La 0.8445 0.3224 0.5391
Pm1 Pm 0.0949 0.0228 0.7181
Pm2 Pm 0.3837 0.3239 0.5895
Pm3 Pm 0.6163 0.6761 0.4105
Pm4 Pm 0.9051 0.9772 0.2819
# Formation energy   0.13 eV/atom
# D(E_F)   1.608 states/eV per atom

=====

[5]
# PBE-GGA AcLa3Pm4, relaxed
data_AcLa3Pm4
_chemical_formula_sum 'Ac2 La6 Pm8'
_space_group_name_H-M_alt 'P 1'
_space_group_IT_number 1
_space_group_name_Hall 'P 1'
_cell_length_a 12.0669
_cell_length_b 7.5139
_cell_length_c 6.5186
_cell_angle_alpha 90.00
_cell_angle_beta 90.00
_cell_angle_gamma 90.00
loop_
_atom_site_label
_atom_site_type_symbol
_atom_site_fract_x
_atom_site_fract_y
_atom_site_fract_z
Ac1 Ac 0.0000 0.1273 0.0000
Ac2 Ac 0.5000 0.8727 0.5000
La1 La 0.0000 0.8688 0.4961
La2 La 0.2493 0.1289 0.6636
La3 La 0.2507 0.8711 0.1636
La4 La 0.5000 0.1312 0.9961
La5 La 0.7493 0.8711 0.1636
La6 La 0.7507 0.1289 0.6636
Pm1 Pm 0.0000 0.3803 0.4944
Pm2 Pm 0.0000 0.6223 0.9935
Pm3 Pm 0.2489 0.6205 0.6678
Pm4 Pm 0.2511 0.3795 0.1678
Pm5 Pm 0.5000 0.3777 0.4935
Pm6 Pm 0.5000 0.6197 0.9944
Pm7 Pm 0.7489 0.3795 0.1678
Pm8 Pm 0.7511 0.6205 0.6678
# ΔE to the lowest computed polymorph   0.128 eV/f.u.
# Formation energy   0.04 eV/atom
# D(E_F)   1.792 states/eV per atom

=====

[6]
# PBE-GGA Ac2LaPm, relaxed
data_Ac2LaPm
_chemical_formula_sum 'Ac2 La1 Pm1'
_space_group_name_H-M_alt 'P 1'
_space_group_IT_number 1
_space_group_name_Hall 'P 1'
_cell_length_a 12.6318
_cell_length_b 12.6318
_cell_length_c 12.6318
_cell_angle_alpha 17.63
_cell_angle_beta 17.63
_cell_angle_gamma 17.63
loop_
_atom_site_label
_atom_site_type_symbol
_atom_site_fract_x
_atom_site_fract_y
_atom_site_fract_z
Ac1 Ac 0.0000 0.0000 0.0000
Ac2 Ac 0.1691 0.1691 0.1691
La1 La 0.4171 0.4171 0.4171
Pm1 Pm 0.5851 0.5851 0.5851
# ΔE to the lowest computed polymorph   0.043 eV/f.u.
# Formation energy   0.03 eV/atom
# D(E_F)   1.672 states/eV per atom

=====

[7]
# PBE-GGA Ac2La3Pm8, relaxed
data_Ac2La3Pm8
_chemical_formula_sum 'Ac2 La3 Pm8'
_space_group_name_H-M_alt 'P 1'
_space_group_IT_number 1
_space_group_name_Hall 'P 1'
_cell_length_a 13.1224
_cell_length_b 13.1224
_cell_length_c 13.1224
_cell_angle_alpha 29.87
_cell_angle_beta 29.87
_cell_angle_gamma 29.87
loop_
_atom_site_label
_atom_site_type_symbol
_atom_site_fract_x
_atom_site_fract_y
_atom_site_fract_z
Ac1 Ac 0.1391 0.1391 0.1391
Ac2 Ac 0.8609 0.8609 0.8609
La1 La 0.3118 0.3118 0.3118
La2 La 0.5000 0.5000 0.5000
La3 La 0.6882 0.6882 0.6882
Pm1 Pm 0.2204 0.2204 0.7229
Pm2 Pm 0.2204 0.7229 0.2204
Pm3 Pm 0.2275 0.2275 0.2275
Pm4 Pm 0.2771 0.7796 0.7796
Pm5 Pm 0.7229 0.2204 0.2204
Pm6 Pm 0.7725 0.7725 0.7725
Pm7 Pm 0.7796 0.2771 0.7796
Pm8 Pm 0.7796 0.7796 0.2771
# Formation energy   0.25 eV/atom
# D(E_F)   1.827 states/eV per atom

=====

[8]
# PBE-GGA Ac2La3Pm4, relaxed
data_Ac2La3Pm4
_chemical_formula_sum 'Ac2 La3 Pm4'
_space_group_name_H-M_alt 'P 1'
_space_group_IT_number 1
_space_group_name_Hall 'P 1'
_cell_length_a 3.7667
_cell_length_b 3.7667
_cell_length_c 27.9484
_cell_angle_alpha 90.00
_cell_angle_beta 90.00
_cell_angle_gamma 120.00
loop_
_atom_site_label
_atom_site_type_symbol
_atom_site_fract_x
_atom_site_fract_y
_atom_site_fract_z
Ac1 Ac 0.0000 0.0000 0.0000
Ac2 Ac 0.0000 0.0000 0.2295
La1 La 0.0000 0.0000 0.7825
La2 La 0.3333 0.6667 0.1170
La3 La 0.3333 0.6667 0.4604
Pm1 Pm 0.0000 0.0000 0.3568
Pm2 Pm 0.0000 0.0000 0.5713
Pm3 Pm 0.3333 0.6667 0.6734
Pm4 Pm 0.3333 0.6667 0.8890
# ΔE to the lowest computed polymorph   0.299 eV/f.u.
# Formation energy   0.08 eV/atom
# D(E_F)   1.785 states/eV per atom

=====

[9]
# PBE-GGA AcLa2Pm8, relaxed
data_AcLa2Pm8
_chemical_formula_sum 'Ac1 La2 Pm8'
_space_group_name_H-M_alt 'P 1'
_space_group_IT_number 1
_space_group_name_Hall 'P 1'
_cell_length_a 9.6919
_cell_length_b 9.6919
_cell_length_c 9.6919
_cell_angle_alpha 145.92
_cell_angle_beta 127.61
_cell_angle_gamma 63.99
loop_
_atom_site_label
_atom_site_type_symbol
_atom_site_fract_x
_atom_site_fract_y
_atom_site_fract_z
Ac1 Ac 0.0000 0.0000 0.0000
La1 La 0.2994 0.2994 0.0000
La2 La 0.7006 0.7006 0.0000
Pm1 Pm 0.1543 0.8576 0.2966
Pm2 Pm 0.1575 0.6575 0.5000
Pm3 Pm 0.2961 0.5000 0.7961
Pm4 Pm 0.4390 0.1424 0.2966
Pm5 Pm 0.5610 0.8576 0.7034
Pm6 Pm 0.7039 0.5000 0.2039
Pm7 Pm 0.8425 0.3425 0.5000
Pm8 Pm 0.8457 0.1424 0.7034
# ΔE to the lowest computed polymorph   1.031 eV/f.u.
# Formation energy   0.12 eV/atom
# D(E_F)   1.429 states/eV per atom

=====

[10]
# PBE-GGA AcLa2Pm9, relaxed
data_AcLa2Pm9
_chemical_formula_sum 'Ac1 La2 Pm9'
_space_group_name_H-M_alt 'P 1'
_space_group_IT_number 1
_space_group_name_Hall 'P 1'
_cell_length_a 5.2242
_cell_length_b 5.2242
_cell_length_c 15.6666
_cell_angle_alpha 90.00
_cell_angle_beta 90.00
_cell_angle_gamma 90.00
loop_
_atom_site_label
_atom_site_type_symbol
_atom_site_fract_x
_atom_site_fract_y
_atom_site_fract_z
Ac1 Ac 0.0000 0.0000 0.0000
La1 La 0.0000 0.0000 0.3351
La2 La 0.0000 0.0000 0.6649
Pm1 Pm 0.0000 0.5000 0.1704
Pm2 Pm 0.0000 0.5000 0.5000
Pm3 Pm 0.0000 0.5000 0.8296
Pm4 Pm 0.5000 0.0000 0.1704
Pm5 Pm 0.5000 0.0000 0.5000
Pm6 Pm 0.5000 0.0000 0.8296
Pm7 Pm 0.5000 0.5000 0.0000
Pm8 Pm 0.5000 0.5000 0.3351
Pm9 Pm 0.5000 0.5000 0.6649
# Formation energy   0.02 eV/atom
# D(E_F)   1.742 states/eV per atom

=====

[11]
# PBE-GGA Ac4La2Pm3, relaxed
data_Ac4La2Pm3
_chemical_formula_sum 'Ac4 La2 Pm3'
_space_group_name_H-M_alt 'P 1'
_space_group_IT_number 1
_space_group_name_Hall 'P 1'
_cell_length_a 3.8388
_cell_length_b 3.8388
_cell_length_c 28.4509
_cell_angle_alpha 90.00
_cell_angle_beta 90.00
_cell_angle_gamma 120.00
loop_
_atom_site_label
_atom_site_type_symbol
_atom_site_fract_x
_atom_site_fract_y
_atom_site_fract_z
Ac1 Ac 0.0000 0.0000 0.0000
Ac2 Ac 0.0000 0.0000 0.2164
Ac3 Ac 0.3333 0.6667 0.3349
Ac4 Ac 0.3333 0.6667 0.5515
La1 La 0.0000 0.0000 0.6636
La2 La 0.0000 0.0000 0.8697
Pm1 Pm 0.0000 0.0000 0.4430
Pm2 Pm 0.3333 0.6667 0.1065
Pm3 Pm 0.3333 0.6667 0.7685
# ΔE to the lowest computed polymorph   0.399 eV/f.u.
# Formation energy   0.08 eV/atom
# D(E_F)   2.041 states/eV per atom

=====

[12]
# PBE-GGA Ac4La3Pm, relaxed
data_Ac4La3Pm
_chemical_formula_sum 'Ac4 La3 Pm1'
_space_group_name_H-M_alt 'P 1'
_space_group_IT_number 1
_space_group_name_Hall 'P 1'
_cell_length_a 9.5256
_cell_length_b 9.5256
_cell_length_c 3.6945
_cell_angle_alpha 90.00
_cell_angle_beta 90.00
_cell_angle_gamma 97.79
loop_
_atom_site_label
_atom_site_type_symbol
_atom_site_fract_x
_atom_site_fract_y
_atom_site_fract_z
Ac1 Ac 0.2485 0.2485 0.5000
Ac2 Ac 0.2488 0.7512 0.0000
Ac3 Ac 0.7512 0.2488 0.0000
Ac4 Ac 0.7515 0.7515 0.5000
La1 La 0.0000 0.5000 0.5000
La2 La 0.5000 0.0000 0.5000
La3 La 0.5000 0.5000 0.0000
Pm1 Pm 0.0000 0.0000 0.0000
# ΔE to the lowest computed polymorph   2.660 eV/f.u.
# Formation energy   0.36 eV/atom
# D(E_F)   2.548 states/eV per atom

=====

no.,M_tot (μB per formula unit)
1,0.000
2,0.000
3,0.001
4,0.000
5,0.000
6,0.000
7,0.000
8,0.000
9,0.000
10,0.000
11,0.000
12,0.014